1.
LiSmPbAu after structural relaxation. Source: Alexandria, functional PBE-GGA.

The structure in POSCAR format:
```
LiSmPbAu
1.0
0.0000 3.6098 3.6098
3.6098 0.0000 3.6098
3.6098 3.6098 0.0000
Li Sm Pb Au
1 1 1 1
Direct
0.0000 0.0000 0.0000 Li
0.5000 0.5000 0.5000 Sm
0.7500 0.7500 0.7500 Pb
0.2500 0.2500 0.2500 Au
```

Output
Space-group type: F-43m
DOS at the Fermi energy in states/eV/f.u.: 2.53
DFT total energy in eV per atom: -3.94

2.
TlCu3As2 after structural relaxation. Source: Alexandria, functional PBE-GGA.

The structure in POSCAR format:
```
TlCu3As2
1.0
6.6768 -1.8808 0.0000
6.6768 1.8808 0.0000
-5.1610 0.0000 8.8412
Tl Cu As
2 6 4
Direct
0.1076 0.1076 0.4557 Tl
0.8924 0.8924 0.5443 Tl
0.0797 0.0797 0.9614 Cu
0.2458 0.2458 0.8996 Cu
0.4213 0.4213 0.8571 Cu
0.5787 0.5787 0.1429 Cu
0.7542 0.7542 0.1004 Cu
0.9203 0.9203 0.0386 Cu
0.2174 0.2174 0.2504 As
0.4105 0.4105 0.1946 As
0.5895 0.5895 0.8054 As
0.7826 0.7826 0.7496 As
```

Output
Space-group type: C2/m
DOS at the Fermi energy in states/eV/f.u.: 2.35
DFT total energy in eV per atom: -3.96